LiCeCd17 | the Alexandria database | PBE | relaxed; size of the total moment = 1.16 μB/cell; energy of formation from the pure elements = -0.06 eV/atom; symmetry = No. 160; VASP energy = -1.293 eV per atom
1.0
5.045 2.913 5.021
-5.045 2.913 5.021
0.000 -5.826 5.021
Li Ce Cd
1 1 17
Direct
0.000 0.000 0.000
0.706 0.706 0.706
0.019 0.019 0.507
0.019 0.507 0.019
0.069 0.365 0.676
0.069 0.676 0.365
0.182 0.737 0.737
0.259 0.259 0.259
0.365 0.069 0.676
0.365 0.676 0.069
0.388 0.388 0.851
0.388 0.851 0.388
0.463 0.463 0.463
0.507 0.019 0.019
0.676 0.069 0.365
0.676 0.365 0.069
0.737 0.182 0.737
0.737 0.737 0.182
0.851 0.388 0.388

---

Li3CeCd4 | the Alexandria database | PBE | relaxed; size of the total moment = 1.09 μB/cell; energy of formation from the pure elements = -0.17 eV/atom; symmetry = No. 166; VASP energy = -2.082 eV per atom
1.0
2.465 1.423 8.272
-2.465 1.423 8.272
0.000 -2.847 8.272
Li Ce Cd
3 1 4
Direct
0.000 0.000 0.000
0.251 0.251 0.251
0.749 0.749 0.749
0.500 0.500 0.500
0.110 0.110 0.110
0.370 0.370 0.370
0.630 0.630 0.630
0.890 0.890 0.890

---

Li5Ce2Cd12 | the Alexandria database | PBE | relaxed; size of the total moment = 2.42 μB/cell; energy of formation from the pure elements = -0.20 eV/atom; symmetry = No. 166; VASP energy = -1.909 eV per atom
1.0
4.933 2.848 4.869
-4.933 2.848 4.869
0.000 -5.696 4.869
Li Ce Cd
5 2 12
Direct
0.000 0.000 0.500
0.000 0.500 0.000
0.099 0.099 0.099
0.500 0.000 0.000
0.901 0.901 0.901
0.347 0.347 0.347
0.653 0.653 0.653
0.000 0.296 0.704
0.000 0.704 0.296
0.140 0.654 0.654
0.296 0.000 0.704
0.296 0.704 0.000
0.346 0.346 0.860
0.346 0.860 0.346
0.654 0.140 0.654
0.654 0.654 0.140
0.704 0.000 0.296
0.704 0.296 0.000
0.860 0.346 0.346

---

Question: The lowest VASP energy belongs to which entry?
Answer: Li3CeCd4

---

Question: size of the total moment of number 1 (LiCeCd17)?
Answer: 1.16 μB/cell